Compound: MgTcBi2
Source: Alexandria via LeMat-Bulk
Functional: SCAN
Structure: single point on PBEsol structure

Output
Energy relative to the elements: 647 meV/atom
Total DFT energy (no corrections): -778.4 eV for the cell shown
Total magnetic moment: 0.00 Bohr magnetons per cell
V: 129.4 Å³/f.u.

Lattice parameters (Å, degrees): 6.6556 6.6556 11.6878 90.00 90.00 90.00
Closest atoms and distances in Å follow each position.
Positions (direct):
Mg 0.0000 0.0000 0.0000  4 Bi 2.95
Mg 0.0000 0.5000 0.2500  4 Bi 2.95
Mg 0.5000 0.0000 0.7500  4 Bi 2.95
Mg 0.5000 0.5000 0.5000  4 Bi 2.95
Tc 0.0000 0.0000 0.5000  4 Bi 2.61
Tc 0.0000 0.5000 0.7500  4 Bi 2.61
Tc 0.5000 0.0000 0.2500  4 Bi 2.61
Tc 0.5000 0.5000 0.0000  4 Bi 2.61
Bi 0.2081 0.7500 0.6250  2 Tc 2.61
Bi 0.2500 0.2081 0.3750  2 Tc 2.61
Bi 0.2500 0.2919 0.8750  2 Tc 2.61
Bi 0.2919 0.7500 0.1250  2 Tc 2.61
Bi 0.7081 0.2500 0.1250  2 Tc 2.61
Bi 0.7500 0.7081 0.8750  2 Tc 2.61
Bi 0.7500 0.7919 0.3750  2 Tc 2.61
Bi 0.7919 0.2500 0.6250  2 Tc 2.61



Compound: CaPBr
Source: Alexandria via LeMat-Bulk
Functional: SCAN
Structure: single point on PBEsol structure

Output
Total DFT energy (no corrections): -41.3 eV for the cell shown
Total magnetic moment: 0.11 Bohr magnetons per cell
Uncorrected formation energy: -0.600 eV per atom
V: 82.4 Å³/f.u.

Lattice parameters (Å, degrees): 3.6337 3.6337 7.2043 90.00 90.00 120.00
Closest atoms and distances in Å follow each position.
Positions (direct):
Ca 0.0000 0.0000 0.0000  3 Br 2.78, 3 P 2.99
P 0.3333 0.6667 0.7039  3 Ca 2.99
Br 0.6667 0.3333 0.2526  3 Ca 2.78



Compound: YMnSb2
Source: Alexandria via LeMat-Bulk
Functional: SCAN
Structure: single point on PBEsol structure

Output
Total DFT energy (no corrections): -122.9 eV for the cell shown
Total magnetic moment: 4.14 Bohr magnetons per cell
Uncorrected formation energy: -0.576 eV per atom
V: 98.6 Å³/f.u.

Lattice parameters (Å, degrees): 4.0803 4.0803 5.9211 90.00 90.00 90.00
Closest atoms and distances in Å follow each position.
Positions (direct):
Y 0.0000 0.0000 0.0000  6 Sb 2.89-3.03
Mn 0.5000 0.5000 0.3887  6 Sb 2.91-3.01
Sb 0.0000 0.0000 0.4886  2 Y 2.89-3.03, 4 Mn 2.95
Sb 0.5000 0.5000 0.8809  2 Mn 2.91-3.01, 4 Y 2.97



Compound: MgAsPb2
Source: Alexandria via LeMat-Bulk
Functional: SCAN
Structure: single point on PBEsol structure

Output
Energy relative to the elements: 89 meV/atom
Total DFT energy (no corrections): -352.7 eV for the cell shown
Total magnetic moment: 0.00 Bohr magnetons per cell
V: 101.5 Å³/f.u.

Lattice parameters (Å, degrees): 6.3435 11.0008 3.3958 90.00 121.07 90.00
Closest atoms and distances in Å follow each position.
Positions (direct):
Mg 0.0000 0.0000 0.0000  4 As 3.17-3.24, 4 Pb 3.19, 2 Mg 3.40
Mg 0.5000 0.5000 0.0000  4 As 3.17-3.24, 4 Pb 3.19, 2 Mg 3.40
As 0.0000 0.5000 0.0000  4 Mg 3.17-3.24, 4 Pb 3.19, 2 As 3.40
As 0.5000 0.0000 0.0000  4 Mg 3.17-3.24, 4 Pb 3.19, 2 As 3.40
Pb 0.2500 0.2500 0.5000  6 Pb 3.17-3.40, 2 As 3.19, 2 Mg 3.19
Pb 0.2500 0.7500 0.5000  6 Pb 3.17-3.40, 2 As 3.19, 2 Mg 3.19
Pb 0.7500 0.2500 0.5000  6 Pb 3.17-3.40, 2 As 3.19, 2 Mg 3.19
Pb 0.7500 0.7500 0.5000  6 Pb 3.17-3.40, 2 As 3.19, 2 Mg 3.19



Compound: SbPdSCl2
Source: Alexandria via LeMat-Bulk
Functional: SCAN
Structure: single point on PBEsol structure

Output
Total DFT energy (no corrections): -94.5 eV for the cell shown
Total magnetic moment: 0.77 Bohr magnetons per cell
Uncorrected formation energy: 0.217 eV per atom
V: 131.8 Å³/f.u.

Lattice parameters (Å, degrees): 5.0994 5.0994 5.0692 90.00 90.00 90.00
Closest atoms and distances in Å follow each position.
Positions (direct):
Sb 0.0000 0.0000 0.0000  2 S 2.53, 4 Cl 2.55
Pd 0.5000 0.5000 0.5000  8 Cl 3.60, 4 S 3.61
S 0.0000 0.0000 0.5000  2 Sb 2.53
Cl 0.0000 0.5000 0.0000  2 Sb 2.55
Cl 0.5000 0.0000 0.0000  2 Sb 2.55



Compound: LaAl2Cu2
Source: Alexandria via LeMat-Bulk
Functional: SCAN
Structure: single point on PBEsol structure

Output
Energy relative to the elements: -431 meV/atom
Total DFT energy (no corrections): -182.3 eV for the cell shown
Total magnetic moment: 0.00 Bohr magnetons per cell
V: 92.2 Å³/f.u.

Lattice parameters (Å, degrees): 4.3579 4.3579 9.7140 90.00 90.00 90.00
Closest atoms and distances in Å follow each position.
Positions (direct):
La 0.0000 0.0000 0.0000  8 Cu 3.26, 10 Al 3.35-3.56
La 0.5000 0.5000 0.5000  8 Cu 3.26, 10 Al 3.35-3.56
Al 0.0000 0.0000 0.3660  4 Cu 2.45, 1 Al 2.60
Al 0.0000 0.0000 0.6340  4 Cu 2.45, 1 Al 2.60
Al 0.5000 0.5000 0.1340  4 Cu 2.45, 1 Al 2.60
Al 0.5000 0.5000 0.8660  4 Cu 2.45, 1 Al 2.60
Cu 0.0000 0.5000 0.2500  4 Al 2.45
Cu 0.0000 0.5000 0.7500  4 Al 2.45
Cu 0.5000 0.0000 0.2500  4 Al 2.45
Cu 0.5000 0.0000 0.7500  4 Al 2.45